(1)
## ZnHgRh (PBE-GGA)

Data for a relaxed ZnHgRh crystal.

a b c (Å): 4.347 4.347 3.052
angles (deg): 90.00 90.00 120.00
Sites, in units of the cell vectors:
Zn 0.000 0.000 0.000
Hg 0.667 0.333 0.320
Rh 0.333 0.667 0.775

Calculated values
Energy above the most stable polymorph in this dataset, eV per atom: 0.0830
Formation energy from the elements, eV per atom: 0.01
Crystal system: trigonal

(2)
## ZnHgRh2 (PBE-GGA)

Data for a relaxed ZnHgRh2 crystal.

a b c (Å): 2.968 4.520 4.744
angles (deg): 90.00 90.00 90.00
Sites, in units of the cell vectors:
Zn 0.000 0.000 0.000
Hg 0.500 0.000 0.500
Rh 0.000 0.500 0.500
Rh 0.500 0.500 0.000

Calculated values
Formation energy from the elements, eV per atom: 0.09
Crystal system: orthorhombic

(3)
## ZnHgRh2 (PBE-GGA)

Data for a relaxed ZnHgRh2 crystal.

a b c (Å): 2.830 2.830 8.855
angles (deg): 90.00 90.00 115.92
Sites, in units of the cell vectors:
Zn 0.000 0.000 0.000
Hg 0.000 0.000 0.500
Rh 0.500 0.500 0.231
Rh 0.500 0.500 0.769

Calculated values
Formation energy from the elements, eV per atom: 0.06
Crystal system: orthorhombic

(4)
## ZnHgRh2 (PBE-GGA)

Data for a relaxed ZnHgRh2 crystal.

a b c (Å): 4.483 4.483 4.483
angles (deg): 60.00 60.00 60.00
Sites, in units of the cell vectors:
Zn 0.000 0.000 0.000
Hg 0.750 0.750 0.750
Rh 0.250 0.250 0.250
Rh 0.500 0.500 0.500

Calculated values
Formation energy from the elements, eV per atom: 0.12
Crystal system: cubic

(5)
## Zn2HgRh (PBE-GGA)

Data for a relaxed Zn2HgRh crystal.

a b c (Å): 9.264 9.264 9.264
angles (deg): 18.36 18.36 18.36
Sites, in units of the cell vectors:
Zn 0.238 0.238 0.238
Zn 0.762 0.762 0.762
Hg 0.000 0.000 0.000
Rh 0.500 0.500 0.500

Calculated values
Formation energy from the elements, eV per atom: -0.01
Crystal system: trigonal

(6)
## ZnHgRh4 (PBE-GGA)

Data for a relaxed ZnHgRh4 crystal.

a b c (Å): 5.174 5.174 5.174
angles (deg): 60.00 60.00 60.00
Sites, in units of the cell vectors:
Zn 0.000 0.000 0.000
Hg 0.750 0.750 0.750
Rh 0.375 0.375 0.375
Rh 0.375 0.375 0.875
Rh 0.375 0.875 0.375
Rh 0.875 0.375 0.375

Calculated values
Formation energy from the elements, eV per atom: 0.26
Crystal system: cubic

(7)
## ZnHgRh2 (PBE-GGA)

Data for a relaxed ZnHgRh2 crystal.

a b c (Å): 2.855 3.778 5.924
angles (deg): 90.00 90.36 90.00
Sites, in units of the cell vectors:
Zn 0.000 0.000 0.000
Hg 0.503 0.500 0.710
Rh 0.003 0.000 0.439
Rh 0.500 0.500 0.205

Calculated values
Formation energy from the elements, eV per atom: 0.03
Crystal system: monoclinic

(8)
## Zn2HgRh (PBE-GGA)

Data for a relaxed Zn2HgRh crystal.

a b c (Å): 9.534 9.534 9.534
angles (deg): 156.06 156.06 34.12
Sites, in units of the cell vectors:
Zn 0.083 0.625 0.958
Zn 0.375 0.333 0.458
Zn 0.667 0.125 0.042
Zn 0.875 0.917 0.542
Hg 0.250 0.750 0.500
Hg 0.500 0.500 0.000
Rh 0.000 0.000 0.000
Rh 0.750 0.250 0.500

Calculated values
Formation energy from the elements, eV per atom: 0.09
Crystal system: tetragonal

(9)
## Zn3HgRh (PBE-GGA)

Data for a relaxed Zn3HgRh crystal.

a b c (Å): 4.828 4.828 4.828
angles (deg): 90.00 90.00 90.00
Sites, in units of the cell vectors:
Zn 0.000 0.000 0.500
Zn 0.000 0.500 0.000
Zn 0.500 0.000 0.000
Hg 0.500 0.500 0.500
Rh 0.000 0.000 0.000

Calculated values
Energy above the most stable polymorph in this dataset, eV per atom: 0.0000
Formation energy from the elements, eV per atom: 0.13
Crystal system: cubic

(10)
## ZnHgRh (PBE-GGA)

Data for a relaxed ZnHgRh crystal.

a b c (Å): 7.367 7.367 7.367
angles (deg): 34.69 34.69 34.69
Sites, in units of the cell vectors:
Zn 0.116 0.116 0.116
Zn 0.884 0.884 0.884
Hg 0.375 0.375 0.375
Hg 0.625 0.625 0.625
Rh 0.235 0.235 0.235
Rh 0.765 0.765 0.765

Calculated values
Energy above the most stable polymorph in this dataset, eV per atom: 0.1456
Formation energy from the elements, eV per atom: 0.07
Crystal system: trigonal

(11)
## Zn2HgRh (PBE-GGA)

Data for a relaxed Zn2HgRh crystal.

a b c (Å): 4.619 4.619 3.096
angles (deg): 90.00 90.00 104.92
Sites, in units of the cell vectors:
Zn 0.000 0.500 0.000
Zn 0.500 0.000 0.000
Hg 0.000 0.000 0.500
Rh 0.500 0.500 0.500

Calculated values
Formation energy from the elements, eV per atom: -0.09
Crystal system: orthorhombic

(12)
## ZnHg3Rh (PBE-GGA)

Data for a relaxed ZnHg3Rh crystal.

a b c (Å): 5.276 5.276 5.276
angles (deg): 90.00 90.00 90.00
Sites, in units of the cell vectors:
Zn 0.000 0.000 0.000
Hg 0.000 0.500 0.500
Hg 0.500 0.000 0.500
Hg 0.500 0.500 0.000
Rh 0.500 0.500 0.500

Calculated values
Energy above the most stable polymorph in this dataset, eV per atom: 0.0000
Formation energy from the elements, eV per atom: 0.31
Crystal system: cubic

Number 1: calculated total energy -2.97 eV per atom, size of the total moment 0.0 μB/cell. Number 2: calculated total energy -3.98 eV per atom, size of the total moment 0.0 μB/cell. Number 3: calculated total energy -4.01 eV per atom, size of the total moment 0.0 μB/cell. Number 4: calculated total energy -3.95 eV per atom, size of the total moment 1.1 μB/cell. Number 5: calculated total energy -2.56 eV per atom, size of the total moment 0.0 μB/cell. Number 6: calculated total energy -4.91 eV per atom, size of the total moment 0.3 μB/cell. Number 7: calculated total energy -4.04 eV per atom, size of the total moment 0.0 μB/cell. Number 8: calculated total energy -2.46 eV per atom, size of the total moment 0.0 μB/cell. Number 9: calculated total energy -2.16 eV per atom, size of the total moment 0.0 μB/cell. Number 10: calculated total energy -2.90 eV per atom, size of the total moment 0.0 μB/cell. Number 11: calculated total energy -2.64 eV per atom, size of the total moment 0.0 μB/cell. Number 12: calculated total energy -1.60 eV per atom, size of the total moment 0.0 μB/cell.